A geometry-optimized Ca3La structure. Source: Alexandria via LeMat-Bulk, functional PBE.

* formation energy: 0.31 eV/f.u.
* energy above the lowest structure with this stoichiometry: 64 meV per atom
* calculated total energy: -10.6 eV for the cell shown
* crystal system: monoclinic

Cell lengths 6.6968, 6.6968, 6.7785 Å; angles 98.34, 98.34, 32.80 degrees
Last column: nearest neighbours and their distance in Å.
Fractional coordinates of all 4 atoms:
Ca 0.0000 0.0000 0.0000  8 Ca 3.78-3.91, 4 La 3.88
Ca 0.2481 0.2481 0.7476  9 Ca 3.78-3.91, 3 La 3.86-3.87
Ca 0.7519 0.7519 0.2524  9 Ca 3.78-3.91, 3 La 3.86-3.87
La 0.5000 0.5000 0.5000  2 La 3.78, 10 Ca 3.86-3.88